Entry from the Alexandria database: crystalline ErSi2Ni10 at its relaxed geometry (PBE).

Output
Total magnetization = 0.000 μB per formula unit
Final energy = -6.08 eV per atom
ΔE to the lowest computed polymorph = 0.00 eV/f.u.
Formation energy without anion corrections = -0.45 eV per atom

Cell: 8.162 8.162 4.672 Å, 90.00 90.00 90.00°
Positions (direct):
Er: 0.250 0.250 0.221
Er: 0.750 0.750 0.779
Si: 0.000 0.000 0.500
Si: 0.000 0.500 0.500
Si: 0.500 0.000 0.500
Si: 0.500 0.500 0.500
Ni: 0.000 0.000 0.000
Ni: 0.000 0.500 0.000
Ni: 0.027 0.250 0.729
Ni: 0.103 0.750 0.761
Ni: 0.250 0.027 0.729
Ni: 0.250 0.473 0.729
Ni: 0.250 0.603 0.239
Ni: 0.250 0.897 0.239
Ni: 0.397 0.750 0.761
Ni: 0.473 0.250 0.729
Ni: 0.500 0.000 0.000
Ni: 0.500 0.500 0.000
Ni: 0.527 0.750 0.271
Ni: 0.603 0.250 0.239
Ni: 0.750 0.103 0.761
Ni: 0.750 0.397 0.761
Ni: 0.750 0.527 0.271
Ni: 0.750 0.973 0.271
Ni: 0.897 0.250 0.239
Ni: 0.973 0.750 0.271

Entry from the Alexandria database: crystalline Zr2ScPd2 at its relaxed geometry (PBE).

Output
Total magnetization = 0.695 μB per formula unit
Final energy = -7.15 eV per atom
ΔE to the lowest computed polymorph = 0.82 eV/f.u.
Energy of formation from the pure elements = -188 kJ/mol of formula units

Cell: 7.928 7.928 3.186 Å, 90.00 90.00 90.00°
Positions (direct):
Zr: 0.155 0.345 0.000
Zr: 0.345 0.845 0.000
Zr: 0.655 0.155 0.000
Zr: 0.845 0.655 0.000
Sc: 0.000 0.000 0.000
Sc: 0.500 0.500 0.000
Pd: 0.142 0.642 0.500
Pd: 0.358 0.142 0.500
Pd: 0.642 0.858 0.500
Pd: 0.858 0.358 0.500

Entry from the Alexandria database: crystalline Ca2SiGe3Pd4 at its relaxed geometry (PBE).

Output
Total magnetization = 0.000 μB per formula unit
Final energy = -5.10 eV per atom
Formation energy without anion corrections = -0.69 eV per atom

Cell: 4.244 4.244 10.458 Å, 90.00 90.00 90.00°
Positions (direct):
Ca: 0.000 0.500 0.245
Ca: 0.500 0.000 0.755
Si: 0.500 0.500 0.000
Ge: 0.000 0.000 0.000
Ge: 0.000 0.500 0.633
Ge: 0.500 0.000 0.367
Pd: 0.000 0.000 0.500
Pd: 0.000 0.500 0.873
Pd: 0.500 0.000 0.127
Pd: 0.500 0.500 0.500